Record 1
# UIn2Te

An optimized crystal structure of UIn2Te (PBE, the Alexandria database).

The calculation puts the theoretical density at 9749 kg/m3. Its uncorrected formation energy is -11.9 kJ per mole of atoms.

The space group is P4/mmm (No. 123) and the conventional cell measures 4.421, 4.421 and 5.189 Å, with angles of 90.00, 90.00 and 90.00 degrees. Symmetry generates all atoms from U at (0.000, 0.000, 0.000), In at (0.000, 0.500, 0.500) and Te at (0.500, 0.500, 0.000).

Record 2
# Ca4YSb

An optimized crystal structure of Ca4YSb (PBE, the Alexandria database).

The calculation puts the theoretical density at 2859 kg/m3. Its uncorrected formation energy is 16.1 kJ per mole of atoms.

The space group is F-43m (No. 216) and the conventional cell measures 9.517, 9.517 and 9.517 Å, with angles of 90.00, 90.00 and 90.00 degrees. Symmetry generates all atoms from Ca at (0.125, 0.125, 0.125), Y at (0.000, 0.000, 0.500) and Sb at (0.250, 0.250, 0.750).

Record 3
# TcMoC

An optimized crystal structure of TcMoC (PBE, the Alexandria database).

The calculation puts the theoretical density at 9316 kg/m3. As for the energy above the most stable polymorph in this dataset: 366 meV/atom. The formation energy comes out at 0.356 eV per atom.

The space group is Ima2 (No. 46) and the conventional cell measures 5.787, 12.061 and 6.312 Å, with angles of 90.00, 90.00 and 90.00 degrees. Symmetry generates all atoms from Tc at (0.000, 0.000, 0.000), Tc at (0.012, 0.118, 0.645), Mo at (0.250, 0.204, 0.007), Mo at (0.250, 0.569, 0.831), Mo at (0.250, 0.699, 0.488), C at (0.003, 0.710, 0.792) and C at (0.250, 0.000, 0.751).

Record 4
# SrCrAg2

An optimized crystal structure of SrCrAg2 (PBE, the Alexandria database).

The calculation puts the theoretical density at 5650 kg/m3. As for the energy above the most stable polymorph in this dataset: 55 meV/atom. The formation energy comes out at 0.214 eV per atom.

The space group is Cm (No. 8) and the conventional cell measures 8.163, 4.686 and 6.087 Å, with angles of 90.00, 116.23 and 90.00 degrees. Symmetry generates all atoms from Sr at (0.000, 0.000, 0.000), Cr at (0.199, 0.000, 0.594), Ag at (0.025, 0.500, 0.572) and Ag at (0.302, 0.500, 0.402).

Record 5
# YTi2RhPb

An optimized crystal structure of YTi2RhPb (PBE, the Alexandria database).

The calculation puts the theoretical density at 6183 kg/m3. The formation energy comes out at 0.853 eV per atom.

The space group is P4/mmm (No. 123) and the conventional cell measures 5.140, 5.140 and 5.030 Å, with angles of 90.00, 90.00 and 90.00 degrees. Symmetry generates all atoms from Y at (0.000, 0.000, 0.000), Ti at (0.000, 0.500, 0.500), Rh at (0.500, 0.500, 0.000) and Pb at (0.500, 0.500, 0.500).

Record 6
# In2NiOs

An optimized crystal structure of In2NiOs (PBE, the Alexandria database).

The calculation puts the theoretical density at 11524 kg/m3. The formation energy comes out at 0.431 eV per atom.

The space group is Pmm2 (No. 25) and the conventional cell measures 3.003, 4.041 and 5.683 Å, with angles of 90.00, 90.00 and 90.00 degrees. Symmetry generates all atoms from In at (0.000, 0.000, 0.000), In at (0.500, 0.500, 0.330), Ni at (0.000, 0.000, 0.535) and Os at (0.500, 0.500, 0.803).

Record 7
# Na3MgHg

An optimized crystal structure of Na3MgHg (PBE, the Alexandria database).

The calculation puts the theoretical density at 2579 kg/m3. As for the energy above the most stable polymorph in this dataset: 91 meV/atom. The formation energy comes out at 0.161 eV per atom.

The space group is Pm-3m (No. 221) and the conventional cell measures 5.741, 5.741 and 5.741 Å, with angles of 90.00, 90.00 and 90.00 degrees. Symmetry generates all atoms from Na at (0.000, 0.000, 0.500), Mg at (0.500, 0.500, 0.500) and Hg at (0.000, 0.000, 0.000).

Record 8
# Ca3Pa3SnN8

An optimized crystal structure of Ca3Pa3SnN8 (PBE, the Alexandria database).

The calculation puts the theoretical density at 7167 kg/m3. Its uncorrected formation energy is -106.6 kJ per mole of atoms.

The space group is R-3m (No. 166, hexagonal axes) and the conventional cell measures 7.0043, 7.0043 and 17.0803 Å, with angles of 90.00, 90.00 and 120.00 degrees. Symmetry generates all atoms from Ca at (0.0000, 0.5000, 0.0000), Pa at (0.0000, 0.5000, 0.5000), Sn at (0.0000, 0.0000, 0.5000), N at (0.0000, 0.0000, 0.2416) and N at (0.0029, 0.5014, 0.7666).

Record 9
# RbPt

An optimized crystal structure of RbPt (PBE, the Alexandria database).

The calculation puts the theoretical density at 7900 kg/m3. The formation energy comes out at 0.759 eV per atom.

The space group is P2_13 (No. 198) and the conventional cell measures 6.179, 6.179 and 6.179 Å, with angles of 90.00, 90.00 and 90.00 degrees. Symmetry generates all atoms from Rb at (0.094, 0.406, 0.594) and Pt at (0.106, 0.894, 0.394).

Record 10
# InPRh2O

An optimized crystal structure of InPRh2O (PBE, the Alexandria database).

The calculation puts the theoretical density at 8165 kg/m3. Its uncorrected formation energy is -30.8 kJ per mole of atoms.

The space group is P4/mmm (No. 123) and the conventional cell measures 4.618, 4.618 and 3.505 Å, with angles of 90.00, 90.00 and 90.00 degrees. Symmetry generates all atoms from In at (0.000, 0.000, 0.000), P at (0.500, 0.500, 0.500), Rh at (0.000, 0.500, 0.500) and O at (0.500, 0.500, 0.000).

Record 11
# YBeIn

An optimized crystal structure of YBeIn (PBE, the Alexandria database).

The calculation puts the theoretical density at 5435 kg/m3. As for the energy above the most stable polymorph in this dataset: 43 meV/atom. The formation energy comes out at -0.224 eV per atom.

The space group is F-43m (No. 216) and the conventional cell measures 6.382, 6.382 and 6.382 Å, with angles of 90.00, 90.00 and 90.00 degrees. Symmetry generates all atoms from Y at (0.000, 0.000, 0.000), Be at (0.250, 0.250, 0.750) and In at (0.000, 0.000, 0.500).

Record 12
# Rb6IBr5

An optimized crystal structure of Rb6IBr5 (PBE, the Alexandria database).

The calculation puts the theoretical density at 3231 kg/m3. Its uncorrected formation energy is -164.3 kJ per mole of atoms.

The space group is C2/m (No. 12) and the conventional cell measures 8.688, 15.035 and 8.678 Å, with angles of 90.00, 109.54 and 90.00 degrees. Symmetry generates all atoms from Rb at (0.241, 0.000, 0.256), Rb at (0.243, 0.172, 0.745), I at (0.000, 0.500, 0.000), Br at (0.000, 0.000, 0.500), Br at (0.000, 0.167, 0.000) and Br at (0.000, 0.335, 0.500).

What did the ninth record say?
# RbPt

An optimized crystal structure of RbPt (PBE, the Alexandria database).

The calculation puts the theoretical density at 7900 kg/m3. The formation energy comes out at 0.759 eV per atom.

The space group is P2_13 (No. 198) and the conventional cell measures 6.179, 6.179 and 6.179 Å, with angles of 90.00, 90.00 and 90.00 degrees. Symmetry generates all atoms from Rb at (0.094, 0.406, 0.594) and Pt at (0.106, 0.894, 0.394).